Computed, not measured: a relaxed structure of BaSc2Ge2 at the PBE level of DFT.

The calculation puts the distance to the lowest polymorph of the same formula at 0.0 kJ/mol of atoms. The calculation puts the formation energy at -0.645 eV/atom. Its space-group type is I4/mmm, No. 139. The total DFT energy (no corrections) comes out at -27.04 eV per formula unit.

Cell lengths 7.0940, 7.0940, 7.0940 Å; angles 141.43, 141.43, 55.69 degrees
Positions (direct):
1 Ba 0.0000 0.0000 0.0000
2 Sc 0.2500 0.7500 0.5000
3 Sc 0.7500 0.2500 0.5000
4 Ge 0.3678 0.3678 0.0000
5 Ge 0.6322 0.6322 0.0000

=====

Computed, not measured: a relaxed structure of TeCl3 at the PBE level of DFT.

As for the energy relative to the elements, uncorrected: 0.0 eV per formula unit. The calculation puts the distance to the lowest polymorph of the same formula at 40.3 kJ/mol of atoms. Its space-group type is Pmm2, No. 25. The total DFT energy (no corrections) comes out at -8.69 eV per formula unit.

Cell lengths 3.4383, 4.5839, 7.1997 Å; angles 90.00, 90.00, 90.00 degrees
Positions (direct):
1 Te 0.0000 0.0000 0.0000
2 Cl 0.0000 0.5000 0.8389
3 Cl 0.5000 0.0000 0.6867
4 Cl 0.5000 0.5000 0.2277

=====

Quick rundown of N(E_F), same order as above: 0.002, 0.548 states/eV per atom